Zr3N4, relaxed, DFT PBE-GGA; DFT total energy = -9.90 eV/atom; M_tot = 0.000 μB/atom; calculated volume = 12.7 Å³/atom; uncorrected formation energy = -1.480 eV per atom; symmetry = Pnma, No. 62
1.0
9.904 0.000 0.000
0.000 3.301 0.000
0.000 0.000 10.900
Zr N
12 16
Cartesian
0.690 0.825 1.358
1.061 0.825 6.468
2.273 0.825 9.299
2.679 2.476 3.849
3.891 2.476 1.018
4.262 2.476 6.808
5.642 0.825 4.092
6.013 0.825 9.882
7.224 0.825 7.051
7.631 2.476 1.601
8.843 2.476 4.432
9.214 2.476 9.542
0.062 0.825 8.442
1.019 2.476 5.137
1.418 2.476 10.704
2.347 2.476 7.790
2.605 0.825 2.340
3.534 0.825 5.254
3.933 0.825 10.587
4.890 2.476 2.992
5.014 0.825 7.907
5.970 2.476 0.313
6.369 2.476 5.646
7.298 2.476 8.560
7.557 0.825 3.110
8.486 0.825 0.196
8.885 0.825 5.763
9.842 2.476 2.458

NdGd2Ge, relaxed, DFT PBE-GGA; DFT total energy = -9.47 eV/atom; M_tot = 3.804 μB/atom; calculated volume = 32.0 Å³/atom; formation enthalpy at 0 K = -0.09 eV per atom; symmetry = R-3m, No. 166
1.0
3.679 0.000 0.000
-1.840 3.186 0.000
0.000 0.000 32.740
Nd Gd Ge
3 6 3
Cartesian
0.000 0.000 0.000
0.000 2.124 21.827
1.840 1.062 10.913
0.000 0.000 3.482
0.000 0.000 29.259
0.000 2.124 18.345
0.000 2.124 25.309
1.840 1.062 7.432
1.840 1.062 14.395
0.000 0.000 16.370
0.000 2.124 5.457
1.840 1.062 27.284

SmEu2Cu, relaxed, DFT PBE-GGA; DFT total energy = -7.32 eV/atom; M_tot = 3.685 μB/atom; calculated volume = 30.6 Å³/atom; formation enthalpy at 0 K = 0.02 eV per atom; symmetry = P4/mmm, No. 123
1.0
3.652 0.000 0.000
0.000 3.652 0.000
0.000 0.000 9.174
Sm Eu Cu
1 2 1
Cartesian
0.000 0.000 0.000
1.826 1.826 2.815
1.826 1.826 6.359
0.000 0.000 4.587

Tl2InGa10, relaxed, DFT PBE-GGA; DFT total energy = -2.78 eV/atom; M_tot = 0.000 μB/atom; calculated volume = 25.1 Å³/atom; formation enthalpy at 0 K = 0.12 eV per atom; symmetry = Pbam, No. 55
1.0
6.149 0.000 0.000
0.000 19.194 0.000
0.000 0.000 5.536
Tl In Ga
4 2 20
Cartesian
1.410 1.060 0.000
1.665 10.657 0.000
4.484 8.537 0.000
4.739 18.134 0.000
0.000 9.597 2.768
3.074 0.000 2.768
0.203 14.814 2.768
0.343 17.888 2.768
1.049 6.694 1.275
1.049 6.694 4.261
1.194 12.345 2.768
1.880 2.748 2.768
2.026 16.291 1.275
2.026 16.291 4.261
2.731 8.292 2.768
2.871 5.217 2.768
3.278 13.977 2.768
3.418 10.902 2.768
4.123 2.903 1.275
4.123 2.903 4.261
4.269 16.446 2.768
4.955 6.849 2.768
5.100 12.500 1.275
5.100 12.500 4.261
5.806 1.305 2.768
5.946 4.380 2.768